# 1
Compound: KBaInC2
Source: Alexandria via LeMat-Bulk
Functional: GGA-PBEsol
Structure: optimized geometry

```
KBaInC2
1.0
-2.636 -3.970 0.960
2.620 -0.767 4.023
-3.790 3.264 3.090
C K Ba In
2 1 1 1
Direct
0.000 0.500 0.000 C
0.500 0.000 0.000 C
0.000 0.000 0.500 K
0.000 0.000 0.000 Ba
0.500 0.500 0.500 In
```

Summary:
formation enthalpy at 0 K: 11.316 eV/f.u.
space-group type: P4/mmm, No. 123
raw total energy: -2.85 eV/atom

---

# 2
Compound: BaInCN2
Source: Alexandria via LeMat-Bulk
Functional: GGA-PBEsol
Structure: optimized geometry

```
BaInCN2
1.0
-4.187 -0.410 1.917
-1.283 -2.846 -3.410
1.614 -3.940 2.680
C N Ba In
1 2 1 1
Direct
0.000 0.000 0.500 C
0.000 0.500 0.000 N
0.500 0.000 0.000 N
0.000 0.000 0.000 Ba
0.500 0.500 0.500 In
```

Summary:
space-group type: P4/mmm, No. 123
raw total energy: -3.86 eV/atom
ΔE_f (raw): 2.511 eV per atom

---

# 3
Compound: BaNaIn2C
Source: Alexandria via LeMat-Bulk
Functional: GGA-PBEsol
Structure: optimized geometry

```
BaNaIn2C
1.0
4.721 0.000 0.000
0.000 6.355 0.000
0.000 0.000 6.355
Na C Ba In
1 1 1 2
Direct
0.500 0.500 0.500 Na
0.500 0.000 0.000 C
0.000 0.000 0.000 Ba
0.000 0.000 0.500 In
0.000 0.500 0.000 In
```

Summary:
formation enthalpy at 0 K: 6.791 eV/f.u.
space-group type: P4/mmm, No. 123
raw total energy: -2.47 eV/atom

---

# 4
Compound: Ba2SrIrC
Source: Alexandria via LeMat-Bulk
Functional: GGA-PBEsol
Structure: optimized geometry

```
Ba2SrIrC
1.0
-2.744 3.271 -3.039
-3.464 0.709 3.890
2.839 4.045 1.791
Sr C Ir Ba
1 1 1 2
Direct
0.500 0.000 0.000 Sr
0.000 0.000 0.000 C
0.500 0.500 0.500 Ir
0.000 0.000 0.500 Ba
0.000 0.500 0.000 Ba
```

Summary:
formation enthalpy at 0 K: 3.544 eV/f.u.
space-group type: P4/mmm, No. 123
raw total energy: -4.41 eV/atom